1.
First-principles (PBE) data for KLiMn2N after structural relaxation, as listed in Alexandria via LeMat-Bulk.

## Properties
**M_tot**: 0.42 μB per formula unit
**Formation energy from raw total energies**: 3.20 eV/atom
**Calculated density**: 3.83 Mg/m³
**Space group**: No. 123

a = 4.223 Å, b = 4.223 Å, c = 4.125 Å
α = 90.00°, β = 90.00°, γ = 90.00°
Atoms (fractional coordinates):
K (0.000, 0.000, 0.000)
Li (0.000, 0.000, 0.500)
Mn (0.000, 0.500, 0.000)
Mn (0.500, 0.000, 0.000)
N (0.500, 0.500, 0.500)

---

2.
First-principles (PBE) data for RbAcAg2O4 after structural relaxation, as listed in Alexandria via LeMat-Bulk.

## Properties
**M_tot**: 0.00 μB per formula unit
**Formation energy from raw total energies**: -1.27 eV/atom
**Calculated density**: 7.14 Mg/m³
**Space group**: No. 121

a = 5.689 Å, b = 5.689 Å, c = 5.689 Å
α = 115.39°, β = 115.39°, γ = 98.20°
Atoms (fractional coordinates):
Rb (0.000, 0.000, 0.000)
Ac (0.500, 0.500, 0.000)
Ag (0.250, 0.750, 0.500)
Ag (0.750, 0.250, 0.500)
O (0.063, 0.508, 0.000)
O (0.492, 0.492, 0.556)
O (0.508, 0.063, 0.000)
O (0.937, 0.937, 0.444)

---

3.
First-principles (PBE) data for AgBr2O after structural relaxation, as listed in Alexandria via LeMat-Bulk.

## Properties
**M_tot**: 0.00 μB per formula unit
**Formation energy from raw total energies**: 0.38 eV/atom
**Calculated density**: 4.82 Mg/m³
**Space group**: No. 122
**Distance to the lowest polymorph of the same formula**: 0 meV/atom

a = 7.627 Å, b = 7.627 Å, c = 7.627 Å
α = 138.12°, β = 138.12°, γ = 60.72°
Atoms (fractional coordinates):
Ag (0.000, 0.000, 0.000)
Ag (0.750, 0.250, 0.500)
Br (0.210, 0.625, 0.085)
Br (0.375, 0.460, 0.585)
Br (0.540, 0.125, 0.915)
Br (0.875, 0.790, 0.415)
O (0.250, 0.750, 0.500)
O (0.500, 0.500, 0.000)

---

4.
First-principles (PBE) data for BaZr4 after structural relaxation, as listed in Alexandria via LeMat-Bulk.

## Properties
**M_tot**: 0.00 μB per formula unit
**Calculated density**: 5.83 Mg/m³
**Space group**: No. 139
**Formation energy**: 2.853 eV/f.u.
**Distance to the lowest polymorph of the same formula**: 225 meV/atom

a = 7.949 Å, b = 7.949 Å, c = 7.949 Å
α = 147.68°, β = 147.68°, γ = 46.35°
Atoms (fractional coordinates):
Ba (0.000, 0.000, 0.000)
Zr (0.250, 0.750, 0.500)
Zr (0.397, 0.397, 0.000)
Zr (0.603, 0.603, 0.000)
Zr (0.750, 0.250, 0.500)

---

5.
First-principles (PBE) data for TbPmGa2 after structural relaxation, as listed in Alexandria via LeMat-Bulk.

## Properties
**M_tot**: 0.00 μB per formula unit
**Calculated density**: 6.98 Mg/m³
**Space group**: No. 166
**Formation energy**: -1.607 eV/f.u.

a = 9.020 Å, b = 9.020 Å, c = 9.020 Å
α = 23.86°, β = 23.86°, γ = 23.86°
Atoms (fractional coordinates):
Tb (0.000, 0.000, 0.000)
Pm (0.500, 0.500, 0.500)
Ga (0.252, 0.252, 0.252)
Ga (0.748, 0.748, 0.748)

---

6.
First-principles (PBE) data for Cd2CuHg after structural relaxation, as listed in Alexandria via LeMat-Bulk.

## Properties
**M_tot**: 0.00 μB per formula unit
**Calculated density**: 10.33 Mg/m³
**Space group**: No. 119
**Formation energy**: 0.544 eV/f.u.

a = 5.208 Å, b = 5.208 Å, c = 5.208 Å
α = 131.04°, β = 131.04°, γ = 71.75°
Atoms (fractional coordinates):
Cd (0.000, 0.000, 0.000)
Cd (0.750, 0.250, 0.500)
Cu (0.250, 0.750, 0.500)
Hg (0.500, 0.500, 0.000)

---

7.
First-principles (PBE) data for TaCd2Mo after structural relaxation, as listed in Alexandria via LeMat-Bulk.

## Properties
**M_tot**: 0.00 μB per formula unit
**Calculated density**: 10.92 Mg/m³
**Space group**: No. 35
**Formation energy**: 0.717 eV/f.u.
**Distance to the lowest polymorph of the same formula**: 0 meV/atom

a = 2.900 Å, b = 2.900 Å, c = 9.581 Å
α = 90.00°, β = 90.00°, γ = 108.70°
Atoms (fractional coordinates):
Ta (0.000, 0.000, 0.000)
Cd (0.000, 0.000, 0.534)
Cd (0.500, 0.500, 0.260)
Mo (0.500, 0.500, 0.785)

---

8.
First-principles (PBE) data for Cs2KYI6 after structural relaxation, as listed in Alexandria via LeMat-Bulk.

## Properties
**M_tot**: 0.00 μB per formula unit
**Formation energy from raw total energies**: -1.48 eV/atom
**Calculated density**: 3.64 Mg/m³
**Space group**: No. 225
**Distance to the lowest polymorph of the same formula**: 6 meV/atom

a = 9.064 Å, b = 9.064 Å, c = 9.064 Å
α = 60.00°, β = 60.00°, γ = 60.00°
Atoms (fractional coordinates):
Cs (0.250, 0.250, 0.250)
Cs (0.750, 0.750, 0.750)
K (0.000, 0.000, 0.000)
Y (0.500, 0.500, 0.500)
I (0.264, 0.264, 0.736)
I (0.264, 0.736, 0.264)
I (0.264, 0.736, 0.736)
I (0.736, 0.264, 0.264)
I (0.736, 0.264, 0.736)
I (0.736, 0.736, 0.264)

---

9.
First-principles (PBE) data for Tb3ZrTl3Se8 after structural relaxation, as listed in Alexandria via LeMat-Bulk.

## Properties
**M_tot**: 0.00 μB per formula unit
**Formation energy from raw total energies**: -1.38 eV/atom
**Calculated density**: 6.53 Mg/m³
**Space group**: No. 166

a = 9.183 Å, b = 9.183 Å, c = 9.183 Å
α = 53.23°, β = 53.23°, γ = 53.23°
Atoms (fractional coordinates):
Tb (0.000, 0.500, 0.500)
Tb (0.500, 0.000, 0.500)
Tb (0.500, 0.500, 0.000)
Zr (0.000, 0.000, 0.000)
Tl (0.000, 0.000, 0.500)
Tl (0.000, 0.500, 0.000)
Tl (0.500, 0.000, 0.000)
Se (0.225, 0.225, 0.749)
Se (0.225, 0.749, 0.225)
Se (0.251, 0.775, 0.775)
Se (0.265, 0.265, 0.265)
Se (0.735, 0.735, 0.735)
Se (0.749, 0.225, 0.225)
Se (0.775, 0.251, 0.775)
Se (0.775, 0.775, 0.251)

---

10.
First-principles (PBE) data for In2AgRu after structural relaxation, as listed in Alexandria via LeMat-Bulk.

## Properties
**M_tot**: 0.13 μB per formula unit
**Calculated density**: 9.84 Mg/m³
**Space group**: No. 119
**Formation energy**: 0.499 eV/f.u.

a = 5.461 Å, b = 5.461 Å, c = 5.461 Å
α = 137.29°, β = 137.29°, γ = 61.99°
Atoms (fractional coordinates):
In (0.000, 0.000, 0.000)
In (0.750, 0.250, 0.500)
Ag (0.500, 0.500, 0.000)
Ru (0.250, 0.750, 0.500)

---

11.
First-principles (PBE) data for Y2CuRh after structural relaxation, as listed in Alexandria via LeMat-Bulk.

## Properties
**M_tot**: 0.00 μB per formula unit
**Calculated density**: 6.57 Mg/m³
**Space group**: No. 11
**Formation energy**: -2.347 eV/f.u.

a = 5.594 Å, b = 4.329 Å, c = 7.659 Å
α = 90.00°, β = 110.28°, γ = 90.00°
Atoms (fractional coordinates):
Y (0.217, 0.250, 0.434)
Y (0.226, 0.250, 0.927)
Y (0.774, 0.750, 0.073)
Y (0.783, 0.750, 0.566)
Cu (0.347, 0.750, 0.212)
Cu (0.653, 0.250, 0.788)
Rh (0.348, 0.750, 0.714)
Rh (0.652, 0.250, 0.286)

---

12.
First-principles (PBE) data for MgCuRhCl2 after structural relaxation, as listed in Alexandria via LeMat-Bulk.

## Properties
**M_tot**: 1.08 μB per formula unit
**Formation energy from raw total energies**: 0.40 eV/atom
**Calculated density**: 3.55 Mg/m³
**Space group**: No. 123

a = 4.390 Å, b = 4.390 Å, c = 6.351 Å
α = 90.00°, β = 90.00°, γ = 90.00°
Atoms (fractional coordinates):
Mg (0.000, 0.000, 0.000)
Cu (0.000, 0.000, 0.500)
Rh (0.500, 0.500, 0.000)
Cl (0.000, 0.500, 0.500)
Cl (0.500, 0.000, 0.500)